[1]
VASP calculation (GGA-PBEsol) on an optimized crystal structure of AlSbTe2I.

Geometry as POSCAR:
```
AlSbTe2I
1.0
5.689 0.000 0.000
0.000 5.689 0.000
0.000 0.000 5.913
Al Sb Te I
1 1 2 1
direct
0.000 0.000 0.000
0.500 0.500 0.500
0.000 0.500 0.500
0.500 0.000 0.500
0.500 0.500 0.000
```

Calculated values
**Total energy**: -3.060 eV per atom
**Formation energy (no corrections)**: 2.2 eV/f.u.



[2]
VASP calculation (GGA-PBEsol) on an optimized crystal structure of ScAl2I.

Geometry as POSCAR:
```
ScAl2I
1.0
7.177 0.000 0.000
0.000 7.177 0.000
0.000 0.000 7.177
Sc Al I
4 8 4
direct
0.000 0.000 0.000
0.000 0.500 0.500
0.500 0.000 0.500
0.500 0.500 0.000
0.250 0.250 0.250
0.250 0.250 0.750
0.250 0.750 0.250
0.250 0.750 0.750
0.750 0.250 0.250
0.750 0.250 0.750
0.750 0.750 0.250
0.750 0.750 0.750
0.000 0.000 0.500
0.000 0.500 0.000
0.500 0.000 0.000
0.500 0.500 0.500
```

Calculated values
**Total energy**: -3.721 eV per atom
**Formation energy (no corrections)**: 1.7 eV/f.u.



[3]
VASP calculation (GGA-PBEsol) on an optimized crystal structure of SrAlSe2I.

Geometry as POSCAR:
```
SrAlSe2I
1.0
4.972 0.000 0.000
0.000 4.972 0.000
0.000 0.000 5.508
Sr Al Se I
1 1 2 1
direct
0.000 0.000 0.000
0.500 0.500 0.500
0.000 0.500 0.500
0.500 0.000 0.500
0.500 0.500 0.000
```

Calculated values
**Total energy**: -4.026 eV per atom
**Formation energy (no corrections)**: -4.7 eV/f.u.



[4]
VASP calculation (GGA-PBEsol) on an optimized crystal structure of AlTe2SeI.

Geometry as POSCAR:
```
AlTe2SeI
1.0
5.458 0.000 0.000
0.000 5.458 0.000
0.000 0.000 5.546
Al Te Se I
1 2 1 1
direct
0.000 0.000 0.000
0.000 0.500 0.500
0.500 0.000 0.500
0.500 0.500 0.500
0.500 0.500 0.000
```

Calculated values
**Total energy**: -2.886 eV per atom
**Formation energy (no corrections)**: 2.3 eV/f.u.



[5]
VASP calculation (GGA-PBEsol) on an optimized crystal structure of AlSiTe2I.

Geometry as POSCAR:
```
AlSiTe2I
1.0
5.227 0.000 0.000
0.000 5.227 0.000
0.000 0.000 5.529
Al Si Te I
1 1 2 1
direct
0.000 0.000 0.000
0.500 0.500 0.500
0.000 0.500 0.500
0.500 0.000 0.500
0.500 0.500 0.000
```

Calculated values
**Total energy**: -3.356 eV per atom
**Formation energy (no corrections)**: 1.9 eV/f.u.



[6]
VASP calculation (GGA-PBEsol) on an optimized crystal structure of Al2SnI2.

Geometry as POSCAR:
```
Al2SnI2
1.0
7.279 0.000 0.000
0.000 7.279 0.000
0.000 0.000 5.437
Al Sn I
4 2 4
direct
0.128 0.372 0.000
0.372 0.872 0.000
0.628 0.128 0.000
0.872 0.628 0.000
0.000 0.000 0.000
0.500 0.500 0.000
0.197 0.303 0.500
0.303 0.803 0.500
0.697 0.197 0.500
0.803 0.697 0.500
```

Calculated values
**Total energy**: -3.171 eV per atom
**Formation energy (no corrections)**: 0.1 eV/f.u.



[7]
VASP calculation (GGA-PBEsol) on an optimized crystal structure of AlSnI2.

Geometry as POSCAR:
```
AlSnI2
1.0
7.745 0.000 0.000
0.000 7.745 0.000
0.000 0.000 7.745
Al Sn I
4 4 8
direct
0.000 0.000 0.000
0.000 0.500 0.500
0.500 0.000 0.500
0.500 0.500 0.000
0.000 0.000 0.500
0.000 0.500 0.000
0.500 0.000 0.000
0.500 0.500 0.500
0.250 0.250 0.250
0.250 0.250 0.750
0.250 0.750 0.250
0.250 0.750 0.750
0.750 0.250 0.250
0.750 0.250 0.750
0.750 0.750 0.250
0.750 0.750 0.750
```

Calculated values
**Total energy**: -2.925 eV per atom
**Formation energy (no corrections)**: 0.2 eV/f.u.



[8]
VASP calculation (GGA-PBEsol) on an optimized crystal structure of Sr2Al2I.

Geometry as POSCAR:
```
Sr2Al2I
1.0
3.998 0.000 0.000
0.000 3.998 0.000
0.000 0.000 19.326
Sr Al I
4 4 2
direct
0.000 0.000 0.114
0.000 0.000 0.886
0.500 0.500 0.386
0.500 0.500 0.614
0.000 0.500 0.250
0.000 0.500 0.750
0.500 0.000 0.250
0.500 0.000 0.750
0.000 0.000 0.500
0.500 0.500 0.000
```

Calculated values
**Total energy**: -3.120 eV per atom
**Formation energy (no corrections)**: -2.0 eV/f.u.



[9]
VASP calculation (GGA-PBEsol) on an optimized crystal structure of SrAlTe2I.

Geometry as POSCAR:
```
SrAlTe2I
1.0
6.061 0.000 0.000
0.000 6.061 0.000
0.000 0.000 6.183
Sr Al Te I
1 1 2 1
direct
0.000 0.000 0.000
0.500 0.500 0.500
0.000 0.500 0.000
0.500 0.000 0.000
0.000 0.000 0.500
```

Calculated values
**Total energy**: -2.872 eV per atom
**Formation energy (no corrections)**: 0.4 eV/f.u.



[10]
VASP calculation (GGA-PBEsol) on an optimized crystal structure of AlTc3I.

Geometry as POSCAR:
```
AlTc3I
1.0
4.717 0.000 0.000
0.000 4.717 0.000
0.000 0.000 4.717
Al Tc I
1 3 1
direct
0.000 0.000 0.000
0.000 0.500 0.500
0.500 0.000 0.500
0.500 0.500 0.000
0.500 0.500 0.500
```

Calculated values
**Total energy**: -5.919 eV per atom
**Formation energy (no corrections)**: 10.1 eV/f.u.



[11]
VASP calculation (GGA-PBEsol) on an optimized crystal structure of Al2TeI.

Geometry as POSCAR:
```
Al2TeI
1.0
7.723 0.000 0.000
0.000 7.723 0.000
0.000 0.000 7.728
Al Te I
8 4 4
direct
0.232 0.750 0.125
0.250 0.232 0.875
0.250 0.268 0.375
0.268 0.750 0.625
0.732 0.250 0.625
0.750 0.732 0.375
0.750 0.768 0.875
0.768 0.250 0.125
0.000 0.000 0.000
0.000 0.500 0.250
0.500 0.000 0.750
0.500 0.500 0.500
0.000 0.000 0.500
0.000 0.500 0.750
0.500 0.000 0.250
0.500 0.500 0.000
```

Calculated values
**Total energy**: -3.238 eV per atom
**Formation energy (no corrections)**: 0.5 eV/f.u.



[12]
VASP calculation (GGA-PBEsol) on an optimized crystal structure of AlTeI7.

Geometry as POSCAR:
```
AlTeI7
1.0
7.155 0.000 0.000
0.000 7.023 0.000
-3.539 0.000 16.189
Al Te I
2 2 14
direct
0.000 0.016 0.000
0.000 0.984 0.500
0.267 0.427 0.155
0.267 0.573 0.655
0.115 0.365 0.766
0.115 0.635 0.266
0.335 0.145 0.002
0.335 0.855 0.502
0.488 0.180 0.266
0.488 0.820 0.766
0.565 0.341 0.636
0.565 0.659 0.136
0.777 0.156 0.872
0.777 0.844 0.372
0.900 0.137 0.131
0.900 0.863 0.631
0.976 0.344 0.491
0.976 0.656 0.991
```

Calculated values
**Total energy**: -2.547 eV per atom
**Formation energy (no corrections)**: -2.9 eV/f.u.